[1]
## Ca3La2Sb3O14 (PBE-GGA)

Data for a relaxed Ca3La2Sb3O14 crystal.

Values from the calculation:
Symmetry: No. 12
E_form (uncorrected) (meV per atom): -2397

Cell: 7.5814 7.5814 7.5632 Å, 119.67 119.67 60.48°
Fractional positions:
Ca1 0.0000 0.0000 0.0000
Ca2 0.0000 0.0000 0.5000
Ca3 0.5000 0.5000 0.0000
La1 0.0000 0.5000 0.5000
La2 0.5000 0.0000 0.5000
Sb1 0.0000 0.5000 0.0000
Sb2 0.5000 0.0000 0.0000
Sb3 0.5000 0.5000 0.5000
O1 0.1238 0.1238 0.3798
O2 0.1282 0.6000 0.9101
O3 0.1840 0.5859 0.3176
O4 0.1892 0.1892 0.9056
O5 0.4000 0.8718 0.0899
O6 0.4069 0.4069 0.6337
O7 0.4141 0.8160 0.6824
O8 0.5859 0.1840 0.3176
O9 0.5931 0.5931 0.3663
O10 0.6000 0.1282 0.9101
O11 0.8108 0.8108 0.0944
O12 0.8160 0.4141 0.6824
O13 0.8718 0.4000 0.0899
O14 0.8762 0.8762 0.6202

***

[2]
## Ca4La2Sb3O2 (PBE-GGA)

Data for a relaxed Ca4La2Sb3O2 crystal.

Values from the calculation:
Symmetry: No. 139
E_form (uncorrected) (meV per atom): -1801

Cell: 13.3167 13.3167 13.3167 Å, 159.46 159.46 29.21°
Fractional positions:
Ca1 0.0819 0.5819 0.5000
Ca2 0.4181 0.9181 0.5000
Ca3 0.5819 0.0819 0.5000
Ca4 0.9181 0.4181 0.5000
La1 0.1920 0.1920 0.0000
La2 0.8080 0.8080 0.0000
Sb1 0.3240 0.3240 0.0000
Sb2 0.5000 0.5000 0.0000
Sb3 0.6760 0.6760 0.0000
O1 0.1005 0.1005 0.0000
O2 0.8995 0.8995 0.0000

***

[3]
## CaLa2SbO (PBE-GGA)

Data for a relaxed CaLa2SbO crystal.

Values from the calculation:
Symmetry: No. 123
E_form (uncorrected) (meV per atom): -1567

Cell: 5.1126 5.1126 4.7308 Å, 90.00 90.00 90.00°
Fractional positions:
Ca1 0.0000 0.0000 0.0000
La1 0.0000 0.5000 0.5000
La2 0.5000 0.0000 0.5000
Sb1 0.5000 0.5000 0.0000
O1 0.0000 0.0000 0.5000

***

[4]
## Ca2LaSbO6 (PBE-GGA)

Data for a relaxed Ca2LaSbO6 crystal.

Values from the calculation:
Symmetry: No. 7
E_form (uncorrected) (meV per atom): -2683

Cell: 5.7132 5.9456 10.0476 Å, 90.00 124.65 90.00°
Fractional positions:
Ca1 0.0000 0.1984 0.0000
Ca2 0.0000 0.8016 0.5000
Ca3 0.7695 0.2465 0.2530
Ca4 0.7695 0.7535 0.7530
La1 0.5388 0.3025 0.5068
La2 0.5388 0.6975 0.0068
Sb1 0.2714 0.2490 0.7550
Sb2 0.2714 0.7510 0.2550
O1 0.0254 0.4699 0.1853
O2 0.0254 0.5301 0.6853
O3 0.1556 0.1946 0.5254
O4 0.1556 0.8054 0.0254
O5 0.3830 0.3010 0.9834
O6 0.3830 0.6990 0.4834
O7 0.5162 0.0303 0.3236
O8 0.5162 0.9697 0.8236
O9 0.6093 0.4323 0.8074
O10 0.6093 0.5677 0.3074
O11 0.9321 0.0676 0.7008
O12 0.9321 0.9324 0.2008

***

[5]
## Ca2La4Sb3O2 (PBE-GGA)

Data for a relaxed Ca2La4Sb3O2 crystal.

Values from the calculation:
Symmetry: No. 139
E_form (uncorrected) (meV per atom): -1738

Cell: 13.3241 13.3241 13.3241 Å, 158.81 158.81 30.15°
Fractional positions:
Ca1 0.1970 0.1970 0.0000
Ca2 0.8030 0.8030 0.0000
La1 0.0845 0.5845 0.5000
La2 0.4155 0.9155 0.5000
La3 0.5845 0.0845 0.5000
La4 0.9155 0.4155 0.5000
Sb1 0.3215 0.3215 0.0000
Sb2 0.5000 0.5000 0.0000
Sb3 0.6785 0.6785 0.0000
O1 0.1048 0.1048 0.0000
O2 0.8952 0.8952 0.0000

***

[6]
## Ca2LaSbO6 (PBE-GGA)

Data for a relaxed Ca2LaSbO6 crystal.

Values from the calculation:
Symmetry: No. 128
E_form (uncorrected) (meV per atom): -2520

Cell: 5.9057 5.9057 8.5258 Å, 90.00 90.00 90.00°
Fractional positions:
Ca1 0.0000 0.5000 0.2500
Ca2 0.0000 0.5000 0.7500
Ca3 0.5000 0.0000 0.2500
Ca4 0.5000 0.0000 0.7500
La1 0.0000 0.0000 0.0000
La2 0.5000 0.5000 0.5000
Sb1 0.0000 0.0000 0.5000
Sb2 0.5000 0.5000 0.0000
O1 0.0000 0.0000 0.2668
O2 0.0000 0.0000 0.7332
O3 0.1426 0.3101 0.5000
O4 0.1899 0.3574 0.0000
O5 0.3101 0.8574 0.5000
O6 0.3574 0.8101 0.0000
O7 0.5000 0.5000 0.2332
O8 0.5000 0.5000 0.7668
O9 0.6426 0.1899 0.0000
O10 0.6899 0.1426 0.5000
O11 0.8101 0.6426 0.0000
O12 0.8574 0.6899 0.5000

***

[7]
## SrCaLaSbO6 (PBE-GGA)

Data for a relaxed SrCaLaSbO6 crystal.

Values from the calculation:
Distance to the lowest polymorph of the same formula (eV/atom): 0.0000
Symmetry: No. 7
E_form (uncorrected) (meV per atom): -2680

Cell: 5.8082 5.9973 10.1421 Å, 90.00 124.80 90.00°
Fractional positions:
Sr1 0.0000 0.2069 0.0000
Sr2 0.0000 0.7931 0.5000
Ca1 0.7377 0.2447 0.2501
Ca2 0.7377 0.7553 0.7501
La1 0.4754 0.3037 0.5031
La2 0.4754 0.6963 0.0031
Sb1 0.2376 0.2490 0.7497
Sb2 0.2376 0.7510 0.2497
O1 0.0080 0.4439 0.7946
O2 0.0080 0.5561 0.2946
O3 0.1266 0.0340 0.3102
O4 0.1266 0.9660 0.8102
O5 0.3708 0.4816 0.1896
O6 0.3708 0.5184 0.6896
O7 0.4677 0.0684 0.6965
O8 0.4677 0.9316 0.1965
O9 0.5602 0.2963 0.9807
O10 0.5602 0.7037 0.4807
O11 0.8951 0.2125 0.5202
O12 0.8951 0.7875 0.0202

***

[8]
## SrCaLaSbO6 (PBE-GGA)

Data for a relaxed SrCaLaSbO6 crystal.

Values from the calculation:
Distance to the lowest polymorph of the same formula (eV/atom): 0.2218
Symmetry: No. 216
E_form (uncorrected) (meV per atom): -2458

Cell: 6.0815 6.0815 6.0815 Å, 60.00 60.00 60.00°
Fractional positions:
Sr1 0.0000 0.0000 0.0000
Ca1 0.5000 0.5000 0.5000
La1 0.7500 0.7500 0.7500
Sb1 0.2500 0.2500 0.2500
O1 0.0184 0.0184 0.4816
O2 0.0184 0.4816 0.0184
O3 0.0184 0.4816 0.4816
O4 0.4816 0.0184 0.0184
O5 0.4816 0.0184 0.4816
O6 0.4816 0.4816 0.0184

***

[9]
## SrCaLaSbO6 (PBE-GGA)

Data for a relaxed SrCaLaSbO6 crystal.

Values from the calculation:
Distance to the lowest polymorph of the same formula (eV/atom): 0.0546
Symmetry: No. 2
E_form (uncorrected) (meV per atom): -2626

Cell: 5.8436 6.0557 8.4391 Å, 89.86 89.67 89.99°
Fractional positions:
Sr1 0.0116 0.4509 0.2464
Sr2 0.9884 0.5491 0.7536
Ca1 0.4855 0.9556 0.2542
Ca2 0.5145 0.0444 0.7458
La1 0.0000 0.0000 0.0000
La2 0.5000 0.5000 0.5000
Sb1 0.0000 0.0000 0.5000
Sb2 0.5000 0.5000 0.0000
O1 0.1212 0.9614 0.7250
O2 0.1778 0.7267 0.4376
O3 0.2150 0.6782 0.0392
O4 0.2781 0.1818 0.4402
O5 0.3305 0.2195 0.0699
O6 0.4049 0.4343 0.7738
O7 0.5951 0.5657 0.2262
O8 0.6695 0.7805 0.9301
O9 0.7219 0.8182 0.5598
O10 0.7850 0.3218 0.9608
O11 0.8222 0.2733 0.5624
O12 0.8788 0.0386 0.2750

***

[10]
## SrCaLaSbO6 (PBE-GGA)

Data for a relaxed SrCaLaSbO6 crystal.

Values from the calculation:
Distance to the lowest polymorph of the same formula (eV/atom): 0.1299
Symmetry: No. 66
E_form (uncorrected) (meV per atom): -2550

Cell: 5.9512 5.9512 8.6126 Å, 90.00 90.00 90.54°
Fractional positions:
Sr1 0.0000 0.0000 0.2500
Sr2 0.0000 0.0000 0.7500
Ca1 0.5000 0.5000 0.2500
Ca2 0.5000 0.5000 0.7500
La1 0.0000 0.5000 0.0000
La2 0.5000 0.0000 0.5000
Sb1 0.0000 0.5000 0.5000
Sb2 0.5000 0.0000 0.0000
O1 0.0000 0.5000 0.2674
O2 0.0000 0.5000 0.7326
O3 0.1535 0.8016 0.5000
O4 0.1984 0.8465 0.0000
O5 0.3050 0.3509 0.5000
O6 0.3509 0.3050 0.0000
O7 0.5000 0.0000 0.2326
O8 0.5000 0.0000 0.7674
O9 0.6491 0.6950 0.0000
O10 0.6950 0.6491 0.5000
O11 0.8016 0.1535 0.0000
O12 0.8465 0.1984 0.5000

***

[11]
## CaLaScO2 (PBE-GGA)

Data for a relaxed CaLaScO2 crystal.

Values from the calculation:
Symmetry: No. 123
E_form (uncorrected) (meV per atom): -683

Cell: 4.5630 4.5630 6.6521 Å, 90.00 90.00 90.00°
Fractional positions:
Ca1 0.0000 0.0000 0.0000
La1 0.0000 0.0000 0.5000
Sc1 0.5000 0.5000 0.0000
O1 0.0000 0.5000 0.5000
O2 0.5000 0.0000 0.5000

***

[12]
## CaLa2SiO6 (PBE-GGA)

Data for a relaxed CaLa2SiO6 crystal.

Values from the calculation:
Symmetry: No. 99
E_form (uncorrected) (meV per atom): -3081

Cell: 5.4496 5.4496 4.7687 Å, 90.00 90.00 90.00°
Fractional positions:
Ca1 0.0000 0.0000 0.0000
La1 0.0000 0.5000 0.4373
La2 0.5000 0.0000 0.4373
Si1 0.5000 0.5000 0.0248
O1 0.0000 0.0000 0.5343
O2 0.2804 0.2804 0.1300
O3 0.2804 0.7196 0.1300
O4 0.5000 0.5000 0.6727
O5 0.7196 0.2804 0.1300
O6 0.7196 0.7196 0.1300

***

What are the calculated total energy values for these records? In order: -150.38, -59.95, -28.77, -139.26, -65.12, -136.00, -138.57, -67.07, -137.48, -135.97, -26.59, -77.84 eV for the cell shown.